Computed, not measured: crystalline K4La3FeO8 at its relaxed geometry at the PBE+U level of DFT.

Electronic total energy   -6.2833 eV per atom

Structure (CIF):
```
data_K4La3FeO8
_chemical_formula_sum 'K8 La6 Fe2 O16'
_symmetry_space_group_name_H-M 'C 1 2/m 1'
_symmetry_Int_Tables_number 12
_cell_length_a 13.203
_cell_length_b 6.983
_cell_length_c 7.323
_cell_angle_alpha 90.00
_cell_angle_beta 119.54
_cell_angle_gamma 90.00
loop_
_symmetry_equiv_pos_as_xyz
'x,y,z'
'-x,-y,-z'
'-x,y,-z'
'x,-y,z'
'x+1/2,y+1/2,z'
'-x+1/2,-y+1/2,-z'
'-x+1/2,y+1/2,-z'
'x+1/2,-y+1/2,z'
loop_
_atom_site_label
_atom_site_fract_x
_atom_site_fract_y
_atom_site_fract_z
K1 0.000 0.000 0.000
K2 0.000 0.500 0.000
K3 0.250 0.250 0.000
La1 0.000 0.000 0.500
La2 0.250 0.250 0.500
Fe1 0.000 0.500 0.500
O1 0.028 0.296 0.344
O2 0.213 0.000 0.690
O3 0.214 0.000 0.260
```